GaMoIrF2: relaxed, GGA+U.

Crystal system ... tetragonal
Electronic total energy ... -4.57 eV per atom

Unit cell a=4.209 b=4.209 c=5.003 alpha=90.00 beta=90.00 gamma=90.00
Space group P4/mmm (No. 123)
Symmetry-distinct sites (fractional):
Ga 0.000 0.000 0.000 [1 per cell]
Mo 0.500 0.500 0.000 [1 per cell]
Ir 0.000 0.000 0.500 [1 per cell]
F 0.000 0.500 0.500 [2 per cell]